Computed, not measured: a geometry-optimized SmEr3Au2 structure at the PBE-GGA level of DFT. Values from VASP.

Cell and atoms, written as Quantum ESPRESSO input:
```
&SYSTEM
  ibrav = 0, nat = 12, ntyp = 3
/
ATOMIC_SPECIES
Sm 150.36 Sm.upf
Au 196.97 Au.upf
Er 167.26 Er.upf
CELL_PARAMETERS angstrom
-0.1903 -6.3515 -3.0393
7.2320 0.0288 -0.5130
-3.0663 0.1620 8.0158
ATOMIC_POSITIONS angstrom
Sm 0.0000 0.0000 0.0000
Au 3.9789 -0.8370 4.8122
Er 1.7128 -3.1686 -1.6479
Er 5.3289 -3.1542 -1.9044
Au -0.0036 -5.3238 -0.3487
Er 2.0212 -1.3999 2.7990
Sm 3.6160 0.0144 -0.2565
Er 5.6372 -1.3855 2.5425
Er -1.6619 -4.7753 1.9211
Au 0.2857 -3.4288 3.8354
Au 3.6897 -2.7320 0.6282
Er 1.9541 -4.7609 1.6646
```

Results
- polymorph energy (0 for the lowest one) (eV/atom) = 0.1805

=====

Computed, not measured: a geometry-optimized Zn3CuNi structure at the PBE-GGA level of DFT. Values from VASP.

Cell and atoms, written as Quantum ESPRESSO input:
```
&SYSTEM
  ibrav = 0, nat = 5, ntyp = 3
/
ATOMIC_SPECIES
Cu 63.55 Cu.upf
Zn 65.41 Zn.upf
Ni 58.69 Ni.upf
CELL_PARAMETERS angstrom
4.4941 0.0000 0.0000
0.0000 4.4941 0.0000
0.0000 0.0000 4.4941
ATOMIC_POSITIONS angstrom
Cu 2.2470 2.2470 2.2470
Zn 0.0000 0.0000 2.2470
Zn 0.0000 2.2470 0.0000
Ni 0.0000 0.0000 0.0000
Zn 2.2470 0.0000 0.0000
```

Results
- polymorph energy (0 for the lowest one) (eV/atom) = 0.5665

=====

Computed, not measured: a geometry-optimized Mn2CdCu structure at the PBE-GGA level of DFT. Values from VASP.

Cell and atoms, written as Quantum ESPRESSO input:
```
&SYSTEM
  ibrav = 0, nat = 8, ntyp = 3
/
ATOMIC_SPECIES
Mn 54.94 Mn.upf
Cd 112.41 Cd.upf
Cu 63.55 Cu.upf
CELL_PARAMETERS angstrom
-1.1919 3.3693 -0.4292
-0.5865 0.2439 3.5431
7.7853 5.0298 2.7710
ATOMIC_POSITIONS angstrom
Mn 1.2256 3.1180 0.9025
Mn 1.3332 2.1068 2.8184
Cd 0.0000 0.0000 0.0000
Mn 4.3309 6.9140 4.5129
Cd 2.8521 5.1029 1.9493
Cu 3.1548 3.5402 3.9355
Mn 5.1241 5.1473 3.5359
Cu -0.8892 1.8066 1.5569
```

=====

| no. | total magnetic moment (Bohr magnetons per cell) | energy (eV/cell) |
| --- | --- | --- |
| 1 | 0.0 | -55.4 |
| 2 | 0.0 | -11.5 |
| 3 | 4.9 | -40.4 |